Record 1
A geometry-optimized LaSc2Pt structure, computed with PBE-GGA.

Lattice parameters (Å, degrees): 5.633 5.633 5.633 134.08 134.08 66.96
Fractional coordinates of all 4 atoms:
Sc 0.000 0.000 0.000
Pt 0.750 0.250 0.500
La 0.500 0.500 0.000
Sc 0.250 0.750 0.500

Results
V: 22.69 Å³ per atom
D(E_F): 5.8 states/eV/cell
magnetic moment: 0.000 Bohr magnetons per cell


Record 2
A geometry-optimized LaSc2Pt structure, computed with PBE-GGA.

Lattice parameters (Å, degrees): 8.333 8.333 6.637 51.12 51.12 90.00
Fractional coordinates of all 8 atoms:
Pt 0.000 0.000 0.000
La 0.250 0.750 0.500
Sc 0.375 0.299 0.750
Sc 0.701 0.125 0.250
La 0.500 0.500 0.000
Pt 0.750 0.250 0.500
Sc 0.875 0.951 0.750
Sc 0.049 0.625 0.250

Results
V: 26.51 Å³ per atom
D(E_F): 11.8 states/eV/cell
magnetic moment: 0.000 Bohr magnetons per cell


Asked for electronic total energy across the records above, the calculation gives -6.26; -6.37 eV/atom in order.